1.
The following is a DFT calculation (GGA-PBE) of crystalline InSi2Rh at its relaxed geometry.

Unit cell a=3.626 b=3.396 c=6.151 alpha=90.00 beta=106.84 gamma=90.00
Positions (direct):
In: 0.000 0.000 0.000
Si: 0.236 0.000 0.457
Si: 0.749 0.500 0.486
Rh: 0.383 0.500 0.759

Values from the calculation:
Uncorrected formation energy (meV per atom): -111
Electronic total energy (eV per atom): -5.3448
Size of the total moment (μB/f.u.): 0.00
DOS(E_F) (states/eV/f.u.): 1.75
SG: Pm, No. 6



2.
The following is a DFT calculation (GGA-PBE) of crystalline SmInSi2Rh5 at its relaxed geometry.

Unit cell a=4.552 b=4.552 c=7.321 alpha=90.00 beta=90.00 gamma=90.00
Positions (direct):
Sm: 0.000 0.000 0.000
In: 0.000 0.000 0.500
Si: 0.500 0.500 0.330
Si: 0.500 0.500 0.670
Rh: 0.000 0.500 0.274
Rh: 0.000 0.500 0.726
Rh: 0.500 0.000 0.274
Rh: 0.500 0.000 0.726
Rh: 0.500 0.500 0.000

Values from the calculation:
Uncorrected formation energy (meV per atom): -546
Electronic total energy (eV per atom): -6.6640
Size of the total moment (μB/f.u.): 0.00
DOS(E_F) (states/eV/f.u.): 3.61
SG: P4/mmm, No. 123



3.
The following is a DFT calculation (GGA-PBE) of crystalline In2Si2SnRh5 at its relaxed geometry.

Unit cell a=9.703 b=9.703 c=3.447 alpha=90.00 beta=90.00 gamma=90.00
Positions (direct):
In: 0.172 0.328 0.000
In: 0.328 0.828 0.000
In: 0.672 0.172 0.000
In: 0.828 0.672 0.000
Si: 0.127 0.627 0.000
Si: 0.373 0.127 0.000
Si: 0.627 0.873 0.000
Si: 0.873 0.373 0.000
Sn: 0.000 0.000 0.000
Sn: 0.500 0.500 0.000
Rh: 0.000 0.500 0.500
Rh: 0.079 0.790 0.500
Rh: 0.210 0.079 0.500
Rh: 0.290 0.579 0.500
Rh: 0.421 0.290 0.500
Rh: 0.500 0.000 0.500
Rh: 0.579 0.710 0.500
Rh: 0.710 0.421 0.500
Rh: 0.790 0.921 0.500
Rh: 0.921 0.210 0.500

Values from the calculation:
Uncorrected formation energy (meV per atom): -471
Electronic total energy (eV per atom): -6.1798
Size of the total moment (μB/f.u.): 0.00
DOS(E_F) (states/eV/f.u.): 5.27
SG: P4/mbm, No. 127



4.
The following is a DFT calculation (GGA-PBE) of crystalline Sr2InSi2Rh5 at its relaxed geometry.

Unit cell a=10.388 b=10.388 c=3.323 alpha=90.00 beta=90.00 gamma=90.00
Positions (direct):
Sr: 0.176 0.324 0.000
Sr: 0.324 0.824 0.000
Sr: 0.676 0.176 0.000
Sr: 0.824 0.676 0.000
In: 0.000 0.000 0.000
In: 0.500 0.500 0.000
Si: 0.123 0.623 0.000
Si: 0.377 0.123 0.000
Si: 0.623 0.877 0.000
Si: 0.877 0.377 0.000
Rh: 0.000 0.500 0.500
Rh: 0.068 0.780 0.500
Rh: 0.220 0.068 0.500
Rh: 0.280 0.568 0.500
Rh: 0.432 0.280 0.500
Rh: 0.500 0.000 0.500
Rh: 0.568 0.720 0.500
Rh: 0.720 0.432 0.500
Rh: 0.780 0.932 0.500
Rh: 0.932 0.220 0.500

Values from the calculation:
Uncorrected formation energy (meV per atom): -664
Electronic total energy (eV per atom): -6.0349
Size of the total moment (μB/f.u.): 0.00
DOS(E_F) (states/eV/f.u.): 3.74
SG: P4/mbm, No. 127



5.
The following is a DFT calculation (GGA-PBE) of crystalline TbInSi2Rh5 at its relaxed geometry.

Unit cell a=4.527 b=4.527 c=7.306 alpha=90.00 beta=90.00 gamma=90.00
Positions (direct):
Tb: 0.000 0.000 0.000
In: 0.000 0.000 0.500
Si: 0.500 0.500 0.332
Si: 0.500 0.500 0.668
Rh: 0.000 0.500 0.269
Rh: 0.000 0.500 0.731
Rh: 0.500 0.000 0.269
Rh: 0.500 0.000 0.731
Rh: 0.500 0.500 0.000

Values from the calculation:
Uncorrected formation energy (meV per atom): -559
Electronic total energy (eV per atom): -6.6669
Size of the total moment (μB/f.u.): 0.00
DOS(E_F) (states/eV/f.u.): 4.90
SG: P4/mmm, No. 123



6.
The following is a DFT calculation (GGA-PBE) of crystalline Th2InSi3Rh4 at its relaxed geometry.

Unit cell a=4.134 b=4.134 c=10.766 alpha=90.00 beta=90.00 gamma=90.00
Positions (direct):
Th: 0.000 0.500 0.245
Th: 0.500 0.000 0.755
In: 0.000 0.000 0.500
Si: 0.000 0.500 0.881
Si: 0.500 0.000 0.119
Si: 0.500 0.500 0.500
Rh: 0.000 0.000 0.000
Rh: 0.000 0.500 0.661
Rh: 0.500 0.000 0.339
Rh: 0.500 0.500 0.000

Values from the calculation:
Uncorrected formation energy (meV per atom): -933
Electronic total energy (eV per atom): -7.2583
Size of the total moment (μB/f.u.): 0.00
DOS(E_F) (states/eV/f.u.): 4.37
SG: P-4m2, No. 115



Repeat the third record exactly.
The following is a DFT calculation (GGA-PBE) of crystalline In2Si2SnRh5 at its relaxed geometry.

Unit cell a=9.703 b=9.703 c=3.447 alpha=90.00 beta=90.00 gamma=90.00
Positions (direct):
In: 0.172 0.328 0.000
In: 0.328 0.828 0.000
In: 0.672 0.172 0.000
In: 0.828 0.672 0.000
Si: 0.127 0.627 0.000
Si: 0.373 0.127 0.000
Si: 0.627 0.873 0.000
Si: 0.873 0.373 0.000
Sn: 0.000 0.000 0.000
Sn: 0.500 0.500 0.000
Rh: 0.000 0.500 0.500
Rh: 0.079 0.790 0.500
Rh: 0.210 0.079 0.500
Rh: 0.290 0.579 0.500
Rh: 0.421 0.290 0.500
Rh: 0.500 0.000 0.500
Rh: 0.579 0.710 0.500
Rh: 0.710 0.421 0.500
Rh: 0.790 0.921 0.500
Rh: 0.921 0.210 0.500

Values from the calculation:
Uncorrected formation energy (meV per atom): -471
Electronic total energy (eV per atom): -6.1798
Size of the total moment (μB/f.u.): 0.00
DOS(E_F) (states/eV/f.u.): 5.27
SG: P4/mbm, No. 127



size of the total moment of number 6 (Th2InSi3Rh4)? 0.00 μB/f.u.